No. 1
Here is TbGd2In after structural relaxation from the Alexandria database. Energies are from PBE-GGA.

It has space group Fm-3m (No. 225), with a = 7.7504 Å, b = 7.7504 Å, c = 7.7504 Å, α = 90.00°, β = 90.00° and γ = 90.00°. The distinct sites, in fractional coordinates, are Tb at (0.0000, 0.0000, 0.0000), Gd at (0.2500, 0.2500, 0.2500) and In at (0.0000, 0.0000, 0.5000).

The value obtained for the energy relative to the elements is -0.16 eV/atom.

No. 2
Here is NdMgNi2H8 after structural relaxation from the Alexandria database. Energies are from PBE-GGA.

It has space group R-3 (No. 148, hexagonal axes), with a = 4.6528 Å, b = 4.6528 Å, c = 16.7275 Å, α = 90.00°, β = 90.00° and γ = 120.00°. The distinct sites, in fractional coordinates, are Nd at (0.0000, 0.0000, 0.0000), Mg at (0.0000, 0.0000, 0.5000), Ni at (0.0000, 0.0000, 0.2222), H at (0.0000, 0.0000, 0.3138) and H at (0.0153, 0.3100, 0.8917).

No. 3
Here is CaReN3 after structural relaxation from the Alexandria database. Energies are from PBE-GGA.

It has space group Pmmn (No. 59, origin choice 2), with a = 3.3740 Å, b = 5.9963 Å, c = 6.8209 Å, α = 90.00°, β = 90.00° and γ = 90.00°. The distinct sites, in fractional coordinates, are Ca at (0.2500, 0.2500, 0.1903), Re at (0.2500, 0.7500, 0.3063), N at (0.2500, 0.1213, 0.8320) and N at (0.2500, 0.7500, 0.5570).

No. 4
Here is K4Sc after structural relaxation from the Alexandria database. Energies are from PBE-GGA.

It has space group I4/mmm (No. 139), with a = 5.3489 Å, b = 5.3489 Å, c = 21.3526 Å, α = 90.00°, β = 90.00° and γ = 90.00°. The distinct sites, in fractional coordinates, are K at (0.0000, 0.0000, 0.0873), K at (0.0000, 0.5000, 0.2500) and Sc at (0.0000, 0.0000, 0.5000).

The value obtained for the energy relative to the elements is 0.62 eV/atom.

No. 5
Here is HoEr2Ru after structural relaxation from the Alexandria database. Energies are from PBE-GGA.

It has space group Pnma (No. 62), with a = 7.2762 Å, b = 9.0676 Å, c = 6.2619 Å, α = 90.00°, β = 90.00° and γ = 90.00°. The distinct sites, in fractional coordinates, are Ho at (0.0402, 0.2500, 0.1307), Er at (0.1764, 0.0637, 0.6680) and Ru at (0.1154, 0.7500, 0.4611).

The value obtained for the energy relative to the elements is -0.35 eV/atom.

No. 6
Here is Tl2Cu2Ir after structural relaxation from the Alexandria database. Energies are from PBE-GGA.

It has space group I4/mmm (No. 139), with a = 4.0601 Å, b = 4.0601 Å, c = 11.7510 Å, α = 90.00°, β = 90.00° and γ = 90.00°. The distinct sites, in fractional coordinates, are Tl at (0.0000, 0.5000, 0.2500), Cu at (0.0000, 0.0000, 0.0945) and Ir at (0.0000, 0.0000, 0.5000).

The value obtained for the energy relative to the elements is 0.97 eV/atom.

No. 7
Here is TiTeOsN2 after structural relaxation from the Alexandria database. Energies are from PBE-GGA.

It has space group P4/mmm (No. 123), with a = 3.8756 Å, b = 3.8756 Å, c = 5.8925 Å, α = 90.00°, β = 90.00° and γ = 90.00°. The distinct sites, in fractional coordinates, are Ti at (0.0000, 0.0000, 0.0000), Te at (0.0000, 0.0000, 0.5000), Os at (0.5000, 0.5000, 0.5000) and N at (0.0000, 0.5000, 0.0000).

No. 8
Here is TbNdGaCo after structural relaxation from the Alexandria database. Energies are from PBE-GGA.

It has space group F-43m (No. 216), with a = 7.1099 Å, b = 7.1099 Å, c = 7.1099 Å, α = 90.00°, β = 90.00° and γ = 90.00°. The distinct sites, in fractional coordinates, are Tb at (0.0000, 0.0000, 0.0000), Nd at (0.0000, 0.0000, 0.5000), Ga at (0.2500, 0.2500, 0.2500) and Co at (0.2500, 0.2500, 0.7500).

The value obtained for the energy relative to the elements is -0.25 eV/atom.

No. 9
Here is Li2TcBr after structural relaxation from the Alexandria database. Energies are from PBE-GGA.

It has space group P4/mmm (No. 123), with a = 3.2730 Å, b = 3.2730 Å, c = 6.0279 Å, α = 90.00°, β = 90.00° and γ = 90.00°. The distinct sites, in fractional coordinates, are Li at (0.0000, 0.0000, 0.2416), Tc at (0.5000, 0.5000, 0.5000) and Br at (0.5000, 0.5000, 0.0000).

No. 10
Here is AcCeTmMg after structural relaxation from the Alexandria database. Energies are from PBE-GGA.

It has space group F-43m (No. 216), with a = 8.0354 Å, b = 8.0354 Å, c = 8.0354 Å, α = 90.00°, β = 90.00° and γ = 90.00°. The distinct sites, in fractional coordinates, are Ac at (0.0000, 0.0000, 0.0000), Ce at (0.2500, 0.2500, 0.2500), Tm at (0.2500, 0.2500, 0.7500) and Mg at (0.0000, 0.0000, 0.5000).

The value obtained for the energy relative to the elements is 0.20 eV/atom.

No. 11
Here is CdSn2Au after structural relaxation from the Alexandria database. Energies are from PBE-GGA.

It has space group R3m (No. 160, hexagonal axes), with a = 4.4966 Å, b = 4.4966 Å, c = 17.9554 Å, α = 90.00°, β = 90.00° and γ = 120.00°. The distinct sites, in fractional coordinates, are Cd at (0.0000, 0.0000, 0.0000), Sn at (0.0000, 0.0000, 0.5732), Sn at (0.0000, 0.0000, 0.7692) and Au at (0.0000, 0.0000, 0.1680).

The value obtained for the energy relative to the elements is -0.05 eV/atom.

No. 12
Here is NbZn5Pd4 after structural relaxation from the Alexandria database. Energies are from PBE-GGA.

It has space group P4/mmm (No. 123), with a = 2.9804 Å, b = 2.9804 Å, c = 16.6614 Å, α = 90.00°, β = 90.00° and γ = 90.00°. The distinct sites, in fractional coordinates, are Nb at (0.0000, 0.0000, 0.0000), Zn at (0.5000, 0.5000, 0.1127), Zn at (0.5000, 0.5000, 0.3051), Zn at (0.5000, 0.5000, 0.5000), Pd at (0.0000, 0.0000, 0.2096) and Pd at (0.0000, 0.0000, 0.4023).

The value obtained for the energy relative to the elements is -0.45 eV/atom.

Computed calculated total energy, in the same sequence as the records: -144.72 -139.27 -79.03 -15.22 -97.56 -33.86 -33.43 -82.06 -15.30 -61.16 -37.20 -41.70 eV per cell.